[1]
Density functional theory data (PBE-GGA) for an optimized crystal structure of LuSnW.

```
LuSnW
1.0
0.000 3.307 3.307
3.307 0.000 3.307
3.307 3.307 0.000
Lu Sn W
1 1 1
Cartesian
0.000 0.000 0.000
1.653 1.653 1.653
3.307 3.307 3.307
```

Summary:
Size of the total moment = 0.152 μB per atom
Total energy = -6.55 eV per atom
V = 72.3 Å³/cell

---

[2]
Density functional theory data (PBE-GGA) for an optimized crystal structure of ErSb2.

```
ErSb2
1.0
1.732 -3.123 0.000
1.732 3.123 0.000
0.000 0.000 7.882
Er Sb
1 2
Cartesian
0.000 0.000 0.000
0.866 1.562 2.485
0.866 -1.562 5.397
```

Summary:
Size of the total moment = 0.000 μB per atom
Total energy = -4.47 eV per atom
V = 85.3 Å³/cell

---

[3]
Density functional theory data (PBE-GGA) for an optimized crystal structure of PaReNO.

```
PaReNO
1.0
3.359 0.000 0.000
0.000 5.567 0.000
0.000 0.000 6.241
Pa Re N O
2 2 2 2
Cartesian
0.000 1.054 0.000
0.000 4.513 3.120
1.679 1.642 2.721
1.679 3.925 5.841
1.679 2.341 0.919
1.679 3.226 4.040
0.000 1.006 3.968
0.000 4.561 0.848
```

Summary:
Size of the total moment = 0.020 μB per atom
Total energy = -9.24 eV per atom
V = 116.7 Å³/cell

---

[4]
Density functional theory data (PBE-GGA) for an optimized crystal structure of BeCuSiW.

```
BeCuSiW
1.0
0.000 2.912 2.912
2.912 0.000 2.912
2.912 2.912 0.000
Be Cu Si W
1 1 1 1
Cartesian
0.000 0.000 0.000
4.368 4.368 4.368
2.912 2.912 2.912
1.456 1.456 1.456
```

Summary:
Size of the total moment = 0.001 μB per atom
Total energy = -6.22 eV per atom
V = 49.4 Å³/cell

---

[5]
Density functional theory data (PBE-GGA) for an optimized crystal structure of CsPa2Te5.

```
CsPa2Te5
1.0
-4.182 4.182 8.659
4.182 -4.182 8.659
4.182 4.182 -8.659
Cs Pa Te
2 4 10
Cartesian
0.000 0.000 4.330
0.000 0.000 12.989
5.459 1.277 0.000
1.277 2.905 0.000
2.905 1.277 8.659
-1.277 2.905 8.659
0.000 0.000 0.000
2.958 1.224 -1.982
2.958 -1.224 6.678
2.958 1.224 1.982
2.958 -1.224 10.641
0.000 0.000 8.659
1.224 5.406 -1.982
1.224 2.958 6.678
1.224 5.406 1.982
1.224 2.958 10.641
```

Summary:
Size of the total moment = 0.125 μB per atom
Total energy = -5.41 eV per atom
V = 605.8 Å³/cell

---

[6]
Density functional theory data (PBE-GGA) for an optimized crystal structure of HfZn.

```
HfZn
1.0
3.060 0.000 0.000
0.000 4.776 0.000
0.000 0.000 10.145
Hf Zn
4 4
Cartesian
0.765 1.194 0.500
0.765 3.582 2.359
2.295 1.194 7.786
2.295 3.582 9.645
0.765 1.194 5.352
0.765 3.582 6.993
2.295 1.194 3.152
2.295 3.582 4.793
```

Summary:
Size of the total moment = 0.002 μB per atom
Energy of formation from the pure elements = -3.92 kJ per mole of atoms
V = 148.3 Å³/cell

---

[7]
Density functional theory data (PBE-GGA) for an optimized crystal structure of YFeCuB.

```
YFeCuB
1.0
0.000 3.077 3.077
3.077 0.000 3.077
3.077 3.077 0.000
Y Fe Cu B
1 1 1 1
Cartesian
0.000 0.000 0.000
4.616 4.616 4.616
3.077 3.077 3.077
1.539 1.539 1.539
```

Summary:
Size of the total moment = 0.716 μB per atom
Total energy = -5.70 eV per atom
V = 58.3 Å³/cell

---

[8]
Density functional theory data (PBE-GGA) for an optimized crystal structure of BeIrPd.

```
BeIrPd
1.0
0.000 2.723 2.723
2.723 0.000 2.723
2.723 2.723 0.000
Be Ir Pd
1 1 1
Cartesian
0.000 0.000 0.000
4.084 4.084 4.084
1.361 1.361 1.361
```

Summary:
Size of the total moment = 0.000 μB per atom
Total energy = -5.99 eV per atom
V = 40.4 Å³/cell

---

[9]
Density functional theory data (PBE-GGA) for an optimized crystal structure of Tm4AlFe2Ge4.

```
Tm4AlFe2Ge4
1.0
7.553 -2.092 0.000
7.553 2.092 0.000
-1.986 0.000 6.521
Tm Al Fe Ge
4 1 2 4
Cartesian
0.591 0.000 2.533
0.413 0.000 6.135
12.706 0.000 0.387
12.529 0.000 3.988
7.553 0.000 0.000
3.481 0.000 2.400
9.638 0.000 4.121
3.013 0.000 4.774
5.881 0.000 2.180
7.238 0.000 4.342
10.106 0.000 1.747
```

Summary:
Size of the total moment = 0.000 μB per atom
Total energy = -5.82 eV per atom
V = 206.1 Å³/cell

---

[10]
Density functional theory data (PBE-GGA) for an optimized crystal structure of RbPm2.

```
RbPm2
1.0
0.000 5.162 5.162
5.162 0.000 5.162
5.162 5.162 0.000
Rb Pm
2 4
Cartesian
1.291 1.291 1.291
9.034 9.034 9.034
5.162 2.581 2.581
2.581 5.162 2.581
2.581 2.581 5.162
5.162 5.162 5.162
```

Summary:
Size of the total moment = 0.257 μB per atom
Total energy = -2.89 eV per atom
V = 275.1 Å³/cell

---

[11]
Density functional theory data (PBE-GGA) for an optimized crystal structure of TbDyIr2C2N2.

```
TbDyIr2C2N2
1.0
3.729 0.000 0.000
0.000 3.729 0.000
0.000 0.000 7.316
Tb Dy Ir C N
1 1 2 2 2
Cartesian
0.000 0.000 0.000
1.865 1.865 2.445
0.000 1.865 4.877
1.865 0.000 4.877
0.000 0.000 3.713
1.865 1.865 6.056
0.000 0.000 2.320
1.865 1.865 0.132
```

Summary:
Size of the total moment = 0.001 μB per atom
Total energy = -8.27 eV per atom
V = 101.7 Å³/cell

---

[12]
Density functional theory data (PBE-GGA) for an optimized crystal structure of PrGd2Mg3CdIn2.

```
PrGd2Mg3CdIn2
1.0
4.699 0.000 0.000
0.000 6.641 3.789
0.000 -6.641 3.789
Pr Gd Mg Cd In
1 2 3 1 2
Cartesian
0.000 0.000 0.000
0.000 -2.813 4.813
0.000 2.813 4.813
2.349 -1.593 2.315
2.349 1.593 2.315
2.349 0.000 5.038
0.000 0.000 3.269
2.349 -4.389 3.204
2.349 4.389 3.204
```

Summary:
Size of the total moment = 0.000 μB per atom
Total energy = -3.17 eV per atom
V = 236.4 Å³/cell

---

[13]
Density functional theory data (PBE-GGA) for an optimized crystal structure of Dy2Er4TmNi2Te2.

```
Dy2Er4TmNi2Te2
1.0
-1.913 7.739 4.741
1.913 -7.739 4.741
1.913 7.739 -4.741
Dy Er Tm Ni Te
2 4 1 2 2
Cartesian
0.000 2.869 0.000
0.000 12.610 0.000
1.913 5.473 -1.412
0.000 2.266 3.329
0.000 5.678 1.932
0.000 9.800 1.932
1.913 0.000 1.145
1.913 3.677 1.828
0.000 4.063 6.568
1.913 0.000 4.343
0.000 0.000 8.115
```

Summary:
Size of the total moment = 0.001 μB per atom
Total energy = -5.16 eV per atom
V = 280.8 Å³/cell